PtPbCl2 after structural relaxation, computed with PBE-GGA.

Results
Energy above the most stable polymorph in this dataset ... 0 meV/atom
Crystal system ... monoclinic
Spin magnetization ... 0.0 μB/f.u.
ΔE_f (raw) ... -0.37 eV/atom

a = 3.9888 Å, b = 4.0692 Å, c = 6.9442 Å
α = 90.00°, β = 106.35°, γ = 90.00°
Closest atoms and distances in Å follow each position.
Space group Pm (No. 6)
Symmetry-distinct sites (fractional):
1 Pt 0.0000 0.0000 0.0000 (multiplicity 1)  3 Cl 2.39-2.59
2 Pb 0.4379 0.5000 0.8747 (multiplicity 1)  4 Pt 2.97, 6 Cl 3.14-3.25
3 Cl 0.1159 0.5000 0.2396 (multiplicity 1)  2 Pt 2.59
4 Cl 0.8245 0.0000 0.6407 (multiplicity 1)  1 Pt 2.39